An optimized crystal structure of CoNiBiPt. Source: OQMD, functional GGA-PBE.

The space group is F-43m (No. 216) and the conventional cell measures 6.282, 6.282 and 6.282 Å, with angles of 90.00, 90.00 and 90.00 degrees. The distinct sites, in fractional coordinates, are Co at (0.000, 0.000, 0.000), Ni at (0.000, 0.000, 0.500), Bi at (0.250, 0.250, 0.750) and Pt at (0.250, 0.250, 0.250).

As for the relative energy among the computed polymorphs: 0.0 meV/atom. Its calculated volume is 15.5 Å³ per atom. As for the final energy: -0.404 Ry/atom.